A geometry-optimized CrSi2Sb structure, computed with PBEsol. Values from VASP.

Structure (Quantum ESPRESSO input):
```
&SYSTEM
  ibrav = 0, nat = 8, ntyp = 3
/
ATOMIC_SPECIES
Cr 52.00 Cr.upf
Si 28.09 Si.upf
Sb 121.76 Sb.upf
CELL_PARAMETERS angstrom
7.890 0.000 0.000
0.000 3.252 0.000
-0.785 0.000 5.148
ATOMIC_POSITIONS crystal
Cr 0.000 0.000 0.000
Cr 0.500 0.500 0.000
Si 0.223 0.500 0.156
Si 0.277 0.000 0.844
Si 0.723 0.000 0.156
Si 0.777 0.500 0.844
Sb 0.000 0.500 0.500
Sb 0.500 0.000 0.500
```

Calculated values
- Formation energy without anion corrections: 0.242 eV/atom
- Crystal system: monoclinic
- Size of the total moment: 0.66 Bohr magnetons per cell
- DOS(E_F): 0.559 states/eV/atom
- Mass density: 5.8 g cm⁻³
- Space-group type: C2/m (12)